# 1
A relaxed structure of CdSbPO2. Source: Alexandria, functional PBE.

abc: 3.952 3.952 5.396
angles: 90.00 90.00 90.00
Sites, in units of the cell vectors:
Sb1 0.000 0.000 0.000
P1 0.000 0.000 0.500
O1 0.500 0.000 0.000
O2 0.000 0.500 0.000
Cd1 0.500 0.500 0.500

Output
For the energy above the most stable polymorph in this dataset, the calculation gives 0.000 eV per atom. As for the space group: P4/mmm (123). The value obtained for the uncorrected formation energy is -478 meV/atom.

***

# 2
A relaxed structure of MnOsPt. Source: Alexandria, functional PBE.

abc: 4.061 4.061 4.061
angles: 60.00 60.00 60.00
Last column: magnetic moment on the atom in μB.
Sites, in units of the cell vectors:
Pt1 0.500 0.500 0.500  0.15
Mn1 0.750 0.750 0.750  2.23
Os1 0.000 0.000 0.000  -0.47

Output
For the energy above the most stable polymorph in this dataset, the calculation gives 0.336 eV per atom. As for the space group: F-43m (216). The calculation puts the formation energy at 322.2 meV/atom.

***

# 3
A relaxed structure of ErAsC. Source: Alexandria, functional PBE.

abc: 4.130 3.990 8.205
angles: 104.07 104.58 90.00
Sites, in units of the cell vectors:
Er1 0.128 0.628 0.256
Er2 0.872 0.372 0.744
As1 0.324 0.824 0.648
As2 0.676 0.176 0.352
C1 0.651 0.500 0.000
C2 0.349 0.500 0.000

Output
As for the space group: Immm (71). The calculation puts the formation energy at -138.3 meV/atom.

***

Copy entry 2 word for word.
A relaxed structure of MnOsPt. Source: Alexandria, functional PBE.

abc: 4.061 4.061 4.061
angles: 60.00 60.00 60.00
Last column: magnetic moment on the atom in μB.
Sites, in units of the cell vectors:
Pt1 0.500 0.500 0.500  0.15
Mn1 0.750 0.750 0.750  2.23
Os1 0.000 0.000 0.000  -0.47

Output
For the energy above the most stable polymorph in this dataset, the calculation gives 0.336 eV per atom. As for the space group: F-43m (216). The calculation puts the formation energy at 322.2 meV/atom.